Compound: Er5Tm4Sc
Source: Alexandria via LeMat-Bulk
Functional: PBE-GGA
Structure: relaxed

Structure (POSCAR):
```
Er5Tm4Sc
1.0
3.123 -0.139 -1.545
-0.538 9.581 -1.926
-0.716 -0.451 10.397
Er Tm Sc
5 4 1
Direct
0.903 0.901 0.602
0.097 0.099 0.398
0.901 0.400 0.601
0.500 0.500 0.000
0.099 0.600 0.399
0.704 0.705 0.803
0.705 0.197 0.803
0.296 0.295 0.197
0.295 0.803 0.197
0.500 0.000 0.000
```

Output
DOS at the Fermi energy ... 14.66 states/eV/cell
DFT formation energy ... 0.034 eV per atom
Total DFT energy (no corrections) ... -4.670 eV per atom
Theoretical density ... 8.72 g/cm³
Energy above the most stable polymorph in this dataset ... 0 kJ/mol of formula units

Compound: CaScSe
Source: Alexandria via LeMat-Bulk
Functional: PBE-GGA
Structure: relaxed

Structure (POSCAR):
```
CaScSe
1.0
4.744 0.000 0.000
2.372 4.109 0.000
2.372 1.370 3.874
Se Ca Sc
1 1 1
Direct
0.750 0.750 0.750
0.000 0.000 0.000
0.500 0.500 0.500
```

Output
DOS at the Fermi energy ... 4.32 states/eV/cell
Formation energy without anion corrections ... -2.03 eV/f.u.
Total DFT energy (no corrections) ... -4.616 eV per atom
Theoretical density ... 3.61 g/cm³
Energy above the most stable polymorph in this dataset ... 99 kJ/mol of formula units

Compound: PrHfCd
Source: Alexandria via LeMat-Bulk
Functional: PBE-GGA
Structure: relaxed

Structure (POSCAR):
```
PrHfCd
1.0
-2.844 -2.714 2.873
1.399 -0.401 -3.121
10.774 -5.438 5.529
Pr Cd Hf
2 2 2
Direct
0.694 0.389 0.682
0.694 0.389 0.318
0.194 0.389 0.500
0.694 0.389 0.000
0.194 0.389 0.856
0.194 0.389 0.144
```

Output
DOS at the Fermi energy ... 4.07 states/eV/cell
DFT formation energy ... -0.004 eV per atom
Total DFT energy (no corrections) ... -5.220 eV per atom
Theoretical density ... 9.11 g/cm³

Compound: NdTmGa2
Source: Alexandria via LeMat-Bulk
Functional: PBE-GGA
Structure: relaxed

Structure (POSCAR):
```
NdTmGa2
1.0
-3.983 -3.194 0.176
-0.707 -2.979 4.090
-3.878 0.926 3.195
Tm Ga Nd
1 2 1
Direct
0.000 0.000 0.000
0.250 0.250 0.250
0.750 0.750 0.750
0.500 0.500 0.500
```

Output
DOS at the Fermi energy ... 1.14 states/eV/cell
DFT formation energy ... -0.556 eV per atom
Total DFT energy (no corrections) ... -4.380 eV per atom
Theoretical density ... 7.97 g/cm³
Energy above the most stable polymorph in this dataset ... 16 kJ/mol of formula units

Compound: MgCu2Ir
Source: Alexandria via LeMat-Bulk
Functional: PBE-GGA
Structure: relaxed

Structure (POSCAR):
```
MgCu2Ir
1.0
4.721 -0.014 0.050
3.877 2.695 0.050
0.886 0.276 4.423
Mg Ir Cu
1 1 2
Direct
0.250 0.250 0.250
0.750 0.750 0.750
0.008 0.008 0.984
0.492 0.492 0.516
```

Output
DOS at the Fermi energy ... 2.63 states/eV/cell
DFT formation energy ... -0.043 eV per atom
Total DFT energy (no corrections) ... -4.705 eV per atom
Theoretical density ... 10.12 g/cm³